(1)
The following is a DFT calculation (GGA-PBE) of crystalline DyHf3Rh4 at its relaxed geometry.

abc: 4.5562 4.5562 8.7126
angles: 74.84 74.84 60.00
With the nearest neighbours (Å) after each atom.
Element x y z (fractional)
Hf1 0.5000 0.5000 0.5000  8 Rh 2.63-2.77
Rh1 0.8680 0.8680 0.3961  7 Hf 2.77-2.87
Rh2 0.1320 0.1320 0.6039  7 Hf 2.77-2.87
Hf2 0.7529 0.7529 0.7414  7 Rh 2.70-2.87
Rh3 0.3945 0.3945 0.8166  4 Hf 2.63-2.70
Rh4 0.6055 0.6055 0.1834  4 Hf 2.63-2.70
Dy1 0.0000 0.0000 0.0000  8 Rh 3.04-3.29, 6 Hf 3.40
Hf3 0.2471 0.2471 0.2586  7 Rh 2.70-2.87

- E_form (eV/f.u.) = -7.0
- uncorrected energy (eV per atom) = -8.862


(2)
The following is a DFT calculation (GGA-PBE) of crystalline MgBeW2 at its relaxed geometry.

abc: 9.1593 9.1593 9.1593
angles: 17.58 17.58 17.58
With the nearest neighbours (Å) after each atom.
Element x y z (fractional)
Be1 0.2500 0.2500 0.2500  6 W 2.60, 6 Be 2.80
W1 0.5080 0.5080 0.5080  3 Be 2.60, 6 W 2.80
W2 0.9920 0.9920 0.9920  3 Be 2.60, 6 W 2.80
Mg1 0.7500 0.7500 0.7500  6 Mg 2.80, 6 W 2.95

- polymorph energy (0 for the lowest one) (meV per atom) = 234
- E_form (eV/f.u.) = 2.1
- uncorrected energy (eV per atom) = -7.279


(3)
The following is a DFT calculation (GGA-PBE) of crystalline Ce2TiPb at its relaxed geometry.

abc: 4.9961 4.3933 4.3933
angles: 90.00 90.00 90.00
With the nearest neighbours (Å) after each atom.
Element x y z (fractional)
Ti1 0.5000 0.0000 0.0000  4 Pb 3.11, 8 Ce 3.33
Ce1 0.0000 0.0000 0.5000  4 Ce 3.11, 4 Pb 3.33, 4 Ti 3.33
Ce2 0.0000 0.5000 0.0000  4 Ce 3.11, 4 Ti 3.33, 4 Pb 3.33
Pb1 0.5000 0.5000 0.5000  4 Ti 3.11, 8 Ce 3.33

- polymorph energy (0 for the lowest one) (meV per atom) = 0
- E_form (eV/f.u.) = -0.5
- uncorrected energy (eV per atom) = -5.995